Entry 1:
This record from Alexandria via LeMat-Bulk describes a crystal of ZrI2N relaxed with PBEsol. The functional is SCAN.

The structure in POSCAR format:
```
ZrI2N
1.0
-4.317 0.223 -2.382
-3.538 -3.296 0.990
-4.076 1.402 2.405
N Zr I
1 1 2
direct
0.000 0.000 0.000 N
0.500 0.500 0.500 Zr
0.750 0.750 0.750 I
0.250 0.250 0.250 I
```

Properties
Formation energy (no corrections) = 2.7 eV per formula unit
Theoretical density = 7.01 g/cm³
Polymorph energy (0 for the lowest one) = 0.00 kcal/mol of atoms
Electronic total energy = -27.6969 eV per atom
Density of states at the Fermi level = 0.349 states/eV/atom

Entry 2:
This record from Alexandria via LeMat-Bulk describes a crystal of NaI relaxed with PBEsol. The functional is SCAN.

The structure in POSCAR format:
```
NaI
1.0
4.528 0.000 0.000
2.264 3.922 0.000
2.264 1.307 3.697
I Na
1 1
direct
0.500 0.500 0.500 I
0.000 0.000 0.000 Na
```

Properties
Formation energy (no corrections) = -2.8 eV per formula unit
Theoretical density = 3.79 g/cm³
Electronic total energy = -21.9027 eV per atom
Density of states at the Fermi level = 0.000 states/eV/atom